VASP calculation (GGA-PBE) on a relaxed AlCdHg2 crystal.

The value obtained for the energy of formation is 0.140 eV/atom. Its density of states at the Fermi level is 2.0 states/eV/cell. Its calculated total energy is -1.18 eV/atom.

```
data_AlCdHg2
_symmetry_space_group_name_H-M 'I m m m'
_symmetry_Int_Tables_number 71
_symmetry_space_group_name_Hall '-I 2 2'
_cell_length_a 4.042
_cell_length_b 5.394
_cell_length_c 8.517
_cell_angle_alpha 90.00
_cell_angle_beta 90.00
_cell_angle_gamma 90.00
loop_
_atom_site_label
_atom_site_type_symbol
_atom_site_fract_x
_atom_site_fract_y
_atom_site_fract_z
_atom_site_occupancy
Al1 Al 0.000 0.000 0.000 1
Cd1 Cd 0.000 0.000 0.500 1
Hg1 Hg 0.000 0.500 0.263 1
```